[1]
# MnCrB3

A geometry-optimized MnCrB3 structure (PBE-GGA, the Alexandria database).

## Properties
Density of states at the Fermi level in states/eV/atom: 0.452
ΔH_f (0 K) in meV per atom: 1293.0
Mass density in g cm⁻³: 4.5

Unit cell a=3.7110 b=3.7110 c=3.7110 alpha=90.00 beta=90.00 gamma=90.00
Space group Pm-3m (No. 221)
Inequivalent atoms, fractional coordinates:
Mn1 0.0000 0.0000 0.0000 (multiplicity 1)
Cr1 0.5000 0.5000 0.5000 (multiplicity 1)
B1 0.0000 0.5000 0.5000 (multiplicity 3)

=====

[2]
# Rb2AsPb2

A geometry-optimized Rb2AsPb2 structure (PBE-GGA, the Alexandria database).

## Properties
Density of states at the Fermi level in states/eV/atom: 0.401
ΔH_f (0 K) in meV per atom: -72.8
Mass density in g cm⁻³: 5.8

Unit cell a=7.8769 b=7.8769 c=6.1442 alpha=90.00 beta=90.00 gamma=90.00
Space group P4/mbm (No. 127)
Inequivalent atoms, fractional coordinates:
Rb1 0.1811 0.3189 0.0000 (multiplicity 4)
As1 0.0000 0.0000 0.5000 (multiplicity 2)
Pb1 0.1408 0.6408 0.5000 (multiplicity 4)

=====

[3]
# BaLaPb

A geometry-optimized BaLaPb structure (PBE-GGA, the Alexandria database).

## Properties
Density of states at the Fermi level in states/eV/atom: 0.789
ΔH_f (0 K) in meV per atom: -485.0
Mass density in g cm⁻³: 6.5

Unit cell a=7.2839 b=7.2844 c=9.2697 alpha=90.00 beta=90.03 gamma=90.00
Space group C2/m (No. 12)
Inequivalent atoms, fractional coordinates:
Ba1 0.2497 0.0000 0.1421 (multiplicity 4)
La1 0.0000 0.2500 0.5000 (multiplicity 4)
Pb1 0.2504 0.0000 0.7452 (multiplicity 4)